Below is CaHo2TmBi4 after structural relaxation, with properties calculated at the PBE level.

Unit cell a=4.4554 b=7.7951 c=7.8049 alpha=70.94 beta=90.00 gamma=90.00
Last column: nearest neighbours and their distance in Å.
Element x y z (fractional)
Ca 0.0000 0.5000 0.5000  6 Bi 3.21-3.22
Ho 0.0000 0.0000 0.0000  6 Bi 3.14
Ho 0.5000 0.0000 0.5000  6 Bi 3.19
Tm 0.5000 0.5000 0.0000  6 Bi 3.17
Bi 0.0000 0.7510 0.7540  3 Ho 3.14-3.19, 2 Tm 3.17, 1 Ca 3.21
Bi 0.0000 0.2490 0.2460  3 Ho 3.14-3.19, 2 Tm 3.17, 1 Ca 3.21
Bi 0.5000 0.7554 0.2431  3 Ho 3.14-3.19, 1 Tm 3.17, 2 Ca 3.22
Bi 0.5000 0.2446 0.7569  3 Ho 3.14-3.19, 1 Tm 3.17, 2 Ca 3.22

Results
**Final energy**: -37.36 eV/cell
**Energy of formation**: -599 kJ/mol of formula units
**Spin magnetization**: 0.000 μB per cell